Cs4Rb2Br | PBE-GGA | optimized geometry

The structure in POSCAR format:
```
Cs4Rb2Br
1.0
10.829 -2.709 0.000
10.829 2.709 0.000
-2.809 0.000 10.709
Cs Rb Br
4 2 1
Cartesian
-0.559 0.000 2.439
6.045 0.000 4.398
12.803 0.000 6.310
19.408 0.000 8.270
4.533 0.000 9.867
14.316 0.000 0.842
10.829 0.000 0.000
```

Computed properties:
Its mass density is 2068 kg/m3. The energy above the most stable polymorph in this dataset is 0 meV/atom. As for the total moment: 0.00 μB per formula unit. The calculation puts the uncorrected formation energy at -469 meV per atom.